Entry 1:
The following is a PBE calculation of crystalline Ce2SmC2Br2 at its relaxed geometry, from Alexandria via LeMat-Bulk.

Computed properties:
The value obtained for the magnetization is 1.14 μB per formula unit. Its calculated volume is 165 Å³/cell. The value obtained for the uncorrected formation energy is -0.559 eV/atom.

a = 4.6949 Å, b = 4.6949 Å, c = 8.1759 Å
α = 106.69°, β = 106.69°, γ = 90.00°
Fractional positions:
C (0.5000, 0.0000, 0.0000)
C (0.0000, 0.5000, 0.0000)
Ce (0.5919, 0.5919, 0.1837)
Ce (0.4081, 0.4081, 0.8163)
Br (0.8017, 0.8017, 0.6034)
Br (0.1983, 0.1983, 0.3966)
Sm (0.0000, 0.0000, 0.0000)


Entry 2:
The following is a PBE calculation of crystalline IrRu3 at its relaxed geometry, from Alexandria via LeMat-Bulk.

Computed properties:
The value obtained for the magnetization is 1.90 μB per formula unit. Its calculated volume is 58 Å³/cell. As for the energy relative to the elements: 0.4535 eV/atom.

a = 3.2781 Å, b = 3.2781 Å, c = 5.4392 Å
α = 90.00°, β = 90.00°, γ = 90.00°
Fractional positions:
Ir (0.0000, 0.0000, 0.0000)
Ru (0.5000, 0.5000, 0.2489)
Ru (0.0000, 0.0000, 0.5000)
Ru (0.5000, 0.5000, 0.7511)


Entry 3:
The following is a PBE calculation of crystalline NpSbTe2N at its relaxed geometry, from Alexandria via LeMat-Bulk.

Computed properties:
The value obtained for the magnetization is 3.00 μB per formula unit. Its calculated volume is 271 Å³/cell. The value obtained for the uncorrected formation energy is -0.566 eV/atom.

a = 4.0636 Å, b = 4.0636 Å, c = 16.3905 Å
α = 90.00°, β = 90.00°, γ = 90.00°
Fractional positions:
N (0.5000, 0.5000, 0.5000)
N (0.0000, 0.0000, 0.5000)
Te (0.0000, 0.5000, 0.0981)
Te (0.5000, 0.0000, 0.3286)
Te (0.0000, 0.5000, 0.6714)
Te (0.5000, 0.0000, 0.9019)
Np (0.0000, 0.5000, 0.4360)
Np (0.5000, 0.0000, 0.5640)
Sb (0.0000, 0.5000, 0.8475)
Sb (0.5000, 0.0000, 0.1525)


- calculated volume of number 2 (IrRu3)?
  58 Å³/cell